DFT (GGA-PBE) results for crystalline Li2CaCl4 at its relaxed geometry.

Results
E above lowest polymorph = 0.027 eV per atom
volume = 288.3 Å³/cell
crystal system = orthorhombic
formation energy from raw total energies = -2.034 eV/atom
SG = Cmcm

Lattice parameters (Å, degrees): 6.409 6.409 12.520 90.00 90.00 145.90
Element x y z (fractional)
Li1 0.124 0.876 0.559
Li2 0.124 0.876 0.941
Li3 0.876 0.124 0.059
Li4 0.876 0.124 0.441
Ca1 0.382 0.618 0.750
Ca2 0.618 0.382 0.250
Cl1 0.046 0.954 0.750
Cl2 0.223 0.777 0.116
Cl3 0.223 0.777 0.384
Cl4 0.500 0.500 0.000
Cl5 0.500 0.500 0.500
Cl6 0.777 0.223 0.616
Cl7 0.777 0.223 0.884
Cl8 0.954 0.046 0.250